A plane-wave DFT calculation with GGA-PBE was carried out for an optimized crystal structure of Sc4Ga2AgRh.

abc: 4.740 4.740 8.199
angles: 73.20 73.20 60.00
Fractional coordinates of all 8 atoms:
Sc  0.380  0.380  0.860
Sc  0.871  0.871  0.386
Sc  0.129  0.129  0.614
Sc  0.620  0.620  0.140
Ga  0.747  0.747  0.760
Ga  0.253  0.253  0.240
Ag  0.000  0.000  0.000
Rh  0.500  0.500  0.500

Properties
* formation energy: -0.621 eV/atom
* space-group type: No. 166
* DOS(E_F): 5.9 states/eV/cell
* calculated total energy: -5.8183 eV/atom